Record 1
Here is a relaxed structure of AcNd4S5 from Alexandria via LeMat-Bulk. Energies are from GGA-PBE.

Unit cell a=4.114 b=7.140 c=9.200 alpha=75.13 beta=77.08 gamma=73.26
Atoms (fractional coordinates):
Ac1 0.000 0.000 0.000
S1 0.798 0.096 0.308
S2 0.202 0.904 0.692
S3 0.000 0.500 0.500
S4 0.394 0.316 0.896
S5 0.606 0.684 0.104
Nd1 0.402 0.795 0.401
Nd2 0.200 0.393 0.206
Nd3 0.800 0.607 0.794
Nd4 0.598 0.205 0.599

Calculated values
As for the symmetry: No. 12. The value obtained for the uncorrected formation energy is -2015 meV per atom.



Record 2
Here is a relaxed structure of TbCdAu from Alexandria via LeMat-Bulk. Energies are from GGA-PBE.

Unit cell a=3.888 b=7.879 c=13.743 alpha=90.00 beta=90.00 gamma=90.00
Atoms (fractional coordinates):
Tb1 0.000 0.229 0.950
Tb2 0.000 0.229 0.550
Tb3 0.000 0.829 0.750
Tb4 0.000 0.771 0.050
Tb5 0.000 0.171 0.250
Tb6 0.000 0.771 0.450
Au1 0.500 0.933 0.596
Au2 0.500 0.067 0.096
Au3 0.000 0.446 0.750
Au4 0.500 0.933 0.904
Au5 0.500 0.067 0.404
Au6 0.000 0.554 0.250
Cd1 0.500 0.561 0.893
Cd2 0.500 0.561 0.607
Cd3 0.500 0.817 0.250
Cd4 0.500 0.439 0.393
Cd5 0.500 0.439 0.107
Cd6 0.500 0.183 0.750

Calculated values
As for the symmetry: No. 51. As for the formation energy: -636 meV per atom.



Record 3
Here is a relaxed structure of Sc2BeOs from Alexandria via LeMat-Bulk. Energies are from GGA-PBE.

Unit cell a=7.117 b=4.464 c=3.300 alpha=89.98 beta=62.40 gamma=128.75
Atoms (fractional coordinates):
Sc1 0.500 0.000 0.500
Sc2 0.000 0.000 0.000
Be1 0.000 0.500 0.500
Os1 0.500 0.500 0.000

Calculated values
As for the symmetry: No. 65. As for the formation energy: -259 meV per atom.



Record 4
Here is a relaxed structure of KTe2W from Alexandria via LeMat-Bulk. Energies are from GGA-PBE.

Unit cell a=8.065 b=8.065 c=7.290 alpha=56.41 beta=56.41 gamma=90.00
Atoms (fractional coordinates):
W1 0.750 0.250 0.500
W2 0.000 0.000 0.000
Te1 0.029 0.625 0.250
Te2 0.721 0.125 0.250
Te3 0.875 0.971 0.750
Te4 0.375 0.279 0.750
K1 0.500 0.500 0.000
K2 0.250 0.750 0.500

Calculated values
As for the symmetry: No. 122. For the energy above the most stable polymorph in this dataset, the calculation gives 194 meV/atom. The value obtained for the uncorrected formation energy is 142 meV per atom.



Record 5
Here is a relaxed structure of Pm4H4S3 from Alexandria via LeMat-Bulk. Energies are from GGA-PBE.

Unit cell a=6.113 b=6.113 c=6.113 alpha=109.47 beta=109.47 gamma=109.47
Atoms (fractional coordinates):
Pm1 0.391 0.391 0.391
Pm2 0.609 0.000 0.000
Pm3 0.000 0.609 0.000
Pm4 0.000 0.000 0.609
H1 0.000 0.238 0.000
H2 0.000 0.000 0.238
H3 0.238 0.000 0.000
H4 0.762 0.762 0.762
S1 0.500 0.500 0.000
S2 0.500 0.000 0.500
S3 0.000 0.500 0.500

Calculated values
As for the symmetry: No. 217. As for the total energy: -0.3870 Ry/atom.



Record 6
Here is a relaxed structure of TlTc3P from Alexandria via LeMat-Bulk. Energies are from GGA-PBE.

Unit cell a=5.104 b=5.104 c=5.104 alpha=90.00 beta=90.00 gamma=90.00
Atoms (fractional coordinates):
Tl1 0.000 0.000 0.000
Tc1 0.000 0.500 0.000
Tc2 0.500 0.000 0.000
Tc3 0.000 0.000 0.500
P1 0.500 0.500 0.500

Calculated values
As for the symmetry: No. 221. As for the formation energy: 2734 meV per atom. For the energy above the most stable polymorph in this dataset, the calculation gives 2278 meV/atom.



Record 7
Here is a relaxed structure of CsBa2NpS6 from Alexandria via LeMat-Bulk. Energies are from GGA-PBE.

Unit cell a=7.452 b=8.255 c=10.526 alpha=90.00 beta=85.98 gamma=90.00
Atoms (fractional coordinates):
S1 0.633 0.240 0.610
S2 0.133 0.260 0.110
S3 0.147 0.402 0.794
S4 0.225 0.159 0.461
S5 0.725 0.341 0.961
S6 0.775 0.841 0.539
S7 0.647 0.098 0.294
S8 0.853 0.598 0.206
S9 0.275 0.659 0.039
S10 0.367 0.760 0.390
S11 0.353 0.902 0.706
S12 0.867 0.740 0.890
Ba1 0.472 0.434 0.229
Ba2 0.028 0.934 0.271
Ba3 0.972 0.066 0.729
Ba4 0.528 0.566 0.771
Cs1 0.500 0.000 0.000
Cs2 0.000 0.500 0.500
Np1 0.000 0.500 0.000
Np2 0.500 0.000 0.500

Calculated values
As for the symmetry: No. 14. The value obtained for the uncorrected formation energy is -1371 meV per atom.



Record 8
Here is a relaxed structure of Ca3Sc2 from Alexandria via LeMat-Bulk. Energies are from GGA-PBE.

Unit cell a=10.586 b=9.233 c=6.828 alpha=80.96 beta=59.47 gamma=39.57
Atoms (fractional coordinates):
Sc1 0.901 0.189 0.564
Sc2 0.061 0.349 0.903
Sc3 0.347 0.564 0.189
Sc4 0.686 0.903 0.349
Ca1 0.346 0.450 0.725
Ca2 0.177 0.323 0.323
Ca3 0.479 0.725 0.450
Ca4 0.525 0.771 0.904
Ca5 0.927 0.073 0.073
Ca6 0.800 0.904 0.771

Calculated values
As for the symmetry: No. 43. As for the formation energy: 260 meV per atom. For the energy above the most stable polymorph in this dataset, the calculation gives 0 meV/atom.



Record 9
Here is a relaxed structure of Ce2SbPb from Alexandria via LeMat-Bulk. Energies are from GGA-PBE.

Unit cell a=5.487 b=5.487 c=5.487 alpha=60.00 beta=60.00 gamma=60.00
Atoms (fractional coordinates):
Sb1 0.500 0.500 0.500
Pb1 0.000 0.000 0.000
Ce1 0.750 0.750 0.750
Ce2 0.250 0.250 0.250

Calculated values
As for the symmetry: No. 225. For the energy above the most stable polymorph in this dataset, the calculation gives 113 meV/atom. The value obtained for the uncorrected formation energy is -553 meV per atom.



Record 10
Here is a relaxed structure of Ca2TlHgN from Alexandria via LeMat-Bulk. Energies are from GGA-PBE.

Unit cell a=4.846 b=4.846 c=5.015 alpha=90.00 beta=90.00 gamma=90.00
Atoms (fractional coordinates):
Ca1 0.500 0.000 0.000
Ca2 0.000 0.500 0.000
N1 0.000 0.000 0.000
Hg1 0.500 0.500 0.500
Tl1 0.000 0.000 0.500

Calculated values
As for the symmetry: No. 123. The value obtained for the uncorrected formation energy is -359 meV per atom.



Record 11
Here is a relaxed structure of BaBe2Cd from Alexandria via LeMat-Bulk. Energies are from GGA-PBE.

Unit cell a=4.419 b=4.306 c=5.424 alpha=89.94 beta=90.00 gamma=90.00
Atoms (fractional coordinates):
Cd1 0.500 0.250 0.250
Be1 0.000 0.499 0.250
Be2 0.000 0.001 0.250
Ba1 0.500 0.750 0.750

Calculated values
As for the symmetry: No. 47. As for the formation energy: 286 meV per atom.



Record 12
Here is a relaxed structure of Ca2TlSe from Alexandria via LeMat-Bulk. Energies are from GGA-PBE.

Unit cell a=5.313 b=5.323 c=3.861 alpha=90.00 beta=90.00 gamma=90.00
Atoms (fractional coordinates):
Tl1 0.000 0.500 0.500
Se1 0.500 0.000 0.500
Ca1 0.500 0.500 0.000
Ca2 0.000 0.000 0.000

Calculated values
As for the symmetry: No. 123. For the energy above the most stable polymorph in this dataset, the calculation gives 257 meV/atom. The value obtained for the uncorrected formation energy is -841 meV per atom.